(1)
DFT (PBE) results for a relaxed structure of PrTe2Pd2.

Calculated values
Energy in eV for the cell shown: -103.3
Volume in A^3/atom: 24.5
Uncorrected formation energy in kJ/mol of formula units: -422

Cell: 4.443 9.488 11.647 Å, 90.00 90.00 90.00°
Fractional positions:
Pr 0.250 0.184 0.828
Pr 0.750 0.316 0.328
Pr 0.750 0.816 0.172
Pr 0.250 0.684 0.672
Te 0.750 0.958 0.693
Te 0.250 0.542 0.193
Te 0.250 0.042 0.307
Te 0.750 0.458 0.807
Te 0.250 0.298 0.554
Te 0.750 0.202 0.054
Te 0.750 0.702 0.446
Te 0.250 0.798 0.946
Pd 0.750 0.459 0.572
Pd 0.250 0.041 0.072
Pd 0.250 0.541 0.428
Pd 0.750 0.959 0.928
Pd 0.250 0.008 0.578
Pd 0.750 0.492 0.078
Pd 0.750 0.992 0.422
Pd 0.250 0.508 0.922

---

(2)
DFT (PBE) results for a relaxed structure of BaAl2Br2.

Calculated values
Energy in eV for the cell shown: -29.7
Volume in A^3/atom: 35.8
Uncorrected formation energy in kJ/mol of formula units: -202

Cell: 8.432 8.432 5.033 Å, 90.00 90.00 90.00°
Fractional positions:
Ba 0.000 0.000 0.000
Ba 0.500 0.500 0.000
Br 0.352 0.852 0.000
Br 0.852 0.648 0.000
Br 0.648 0.148 0.000
Br 0.148 0.352 0.000
Al 0.234 0.734 0.500
Al 0.734 0.766 0.500
Al 0.766 0.266 0.500
Al 0.266 0.234 0.500

---

(3)
DFT (PBE) results for a relaxed structure of Mg2SiTeCl.

Calculated values
Energy in eV for the cell shown: -10.9
Volume in A^3/atom: 32.6
Uncorrected formation energy in kJ/mol of formula units: 257

Cell: 5.502 5.502 5.389 Å, 90.00 90.00 90.00°
Each line ends with the local moment (μB).
Fractional positions:
Si 0.500 0.500 0.500  0.38
Te 0.000 0.000 0.000  0.04
Mg 0.000 0.500 0.000  0.00
Mg 0.500 0.000 0.000  0.00
Cl 0.000 0.000 0.500  0.05

---

(4)
DFT (PBE) results for a relaxed structure of AlPtO2.

Calculated values
Energy in eV for the cell shown: -103.5
Volume in A^3/atom: 11.2
Uncorrected formation energy in kJ/mol of formula units: -596

Cell: 5.197 3.607 9.552 Å, 90.00 90.00 90.00°
Fractional positions:
O 0.069 0.250 0.421
O 0.431 0.750 0.921
O 0.931 0.750 0.579
O 0.569 0.250 0.079
O 0.300 0.250 0.706
O 0.200 0.750 0.206
O 0.700 0.750 0.294
O 0.800 0.250 0.794
Al 0.977 0.250 0.626
Al 0.523 0.750 0.126
Al 0.023 0.750 0.374
Al 0.477 0.250 0.874
Pt 0.556 0.250 0.414
Pt 0.944 0.750 0.914
Pt 0.444 0.750 0.586
Pt 0.056 0.250 0.086

---

(5)
DFT (PBE) results for a relaxed structure of NaScPt2.

Calculated values
Energy in eV for the cell shown: -43.0
ΔE_f in eV/atom: -0.45
Volume in A^3/atom: 19.2

Cell: 7.354 7.354 5.926 Å, 51.65 51.65 90.00°
Fractional positions:
Sc 0.000 0.000 0.000
Sc 0.750 0.250 0.500
Na 0.500 0.500 0.000
Na 0.250 0.750 0.500
Pt 0.645 0.125 0.250
Pt 0.105 0.625 0.250
Pt 0.375 0.355 0.750
Pt 0.875 0.895 0.750

---

(6)
DFT (PBE) results for a relaxed structure of La8Ge3I4O.

Calculated values
Energy in eV for the cell shown: -84.6
Volume in A^3/atom: 31.5
Uncorrected formation energy in kJ/mol of formula units: -1947

Cell: 8.572 9.345 8.573 Å, 117.32 120.00 90.00°
Fractional positions:
La 0.214 0.689 0.975
La 0.214 0.689 0.429
La 0.265 0.296 0.530
La 0.761 0.689 0.975
La 0.239 0.311 0.025
La 0.735 0.704 0.470
La 0.786 0.311 0.571
La 0.786 0.311 0.025
Ge 0.500 0.500 0.000
Ge 0.500 0.500 0.500
Ge 0.000 0.500 0.500
I 0.500 0.000 0.000
I 0.500 0.000 0.500
I 0.000 0.000 0.000
I 0.000 0.000 0.500
O 0.000 0.500 0.000

---

(7)
DFT (PBE) results for a relaxed structure of SrPm3Sb4.

Calculated values
Energy in eV for the cell shown: -82.0
Volume in A^3/atom: 33.4
Uncorrected formation energy in kJ/mol of formula units: -830

Cell: 7.860 7.906 9.145 Å, 90.00 90.00 109.67°
Fractional positions:
Sr 0.750 0.000 0.876
Sr 0.250 0.000 0.124
Sb 0.006 0.254 0.619
Sb 0.499 0.262 0.868
Sb 0.506 0.254 0.381
Sb 0.999 0.262 0.132
Sb 0.001 0.738 0.868
Sb 0.494 0.746 0.619
Sb 0.501 0.738 0.132
Sb 0.994 0.746 0.381
Pm 0.750 0.000 0.375
Pm 0.250 0.000 0.625
Pm 0.750 0.500 0.625
Pm 0.750 0.500 0.124
Pm 0.250 0.500 0.375
Pm 0.250 0.500 0.876

---

(8)
DFT (PBE) results for a relaxed structure of Mn2InCo.

Calculated values
Energy in eV for the cell shown: -27.4
ΔE_f in eV/atom: 0.20
Volume in A^3/atom: 14.5

Cell: 3.067 3.067 6.172 Å, 90.00 90.00 90.00°
Each line ends with the local moment (μB).
Fractional positions:
Co 0.000 0.000 0.464  1.25
In 0.500 0.500 0.736  -0.08
Mn 0.000 0.000 0.032  3.17
Mn 0.500 0.500 0.267  2.85

---

| no. | Fermi-level density of states (states/eV/f.u.) |
| --- | --- |
| 1 | 1.9 |
| 2 | 1.5 |
| 3 | 3.9 |
| 4 | 1.1 |
| 5 | 0.8 |
| 6 | 8.6 |
| 7 | 4.7 |
| 8 | 4.0 |